(1)
Here is Nd2TeO2 at its PBEsol-relaxed geometry from Alexandria. Energies are from SCAN.

Structure (extended XYZ):
```
5
Lattice="4.019 0.000 0.000 0.000 4.019 0.000 -2.009 -2.009 6.383" Properties=species:S:1:pos:R:3 pbc="T T T"
Te 0.000 0.000 0.000
Nd 0.000 0.000 4.352
O 0.000 2.009 3.192
Nd 2.009 2.009 2.031
O 2.009 0.000 3.192
```

Computed properties:
- total moment (μB per formula unit) = 0.00
- DOS at the Fermi energy (states/eV/atom) = 0.00
- calculated volume (Å³/cell) = 103.1
- formation energy without anion corrections (eV per atom) = -3.188
- space-group type = No. 139

(2)
Here is LiMgCu2 at its PBEsol-relaxed geometry from Alexandria. Energies are from SCAN.

Structure (extended XYZ):
```
4
Lattice="-1.718 -2.013 -1.052 2.194 -0.502 -2.621 2.670 -3.828 2.968" Properties=species:S:1:pos:R:3 pbc="T T T"
Cu 0.617 -0.885 0.686
Cu 0.336 -4.957 1.231
Li 0.238 -1.258 -1.837
Mg 1.573 -3.172 -0.352
```

Computed properties:
- total moment (μB per formula unit) = 0.00
- DOS at the Fermi energy (states/eV/atom) = 0.32
- calculated volume (Å³/cell) = 54.4
- ΔE_f (kJ/mol of atoms) = -2.47
- space-group type = No. 47

(3)
Here is SiIr2Rh at its PBEsol-relaxed geometry from Alexandria. Energies are from SCAN.

Structure (extended XYZ):
```
4
Lattice="2.745 0.000 0.000 0.000 4.512 0.000 0.000 -1.249 4.336" Properties=species:S:1:pos:R:3 pbc="T T T"
Ir 0.000 -0.625 2.168
Rh 1.372 0.000 0.000
Ir 0.000 2.256 0.000
Si 1.372 1.632 2.168
```

Computed properties:
- total moment (μB per formula unit) = 0.00
- DOS at the Fermi energy (states/eV/atom) = 0.49
- calculated volume (Å³/cell) = 53.7
- formation energy without anion corrections (eV per atom) = -0.294
- space-group type = No. 65

(4)
Here is ZnCoHg2Se at its PBEsol-relaxed geometry from Alexandria. Energies are from SCAN.

Structure (extended XYZ):
```
5
Lattice="-4.166 -0.839 -0.032 -0.037 -0.017 5.401 -1.066 5.295 0.009" Properties=species:S:1:pos:R:3 pbc="T T T"
Hg -0.019 -0.009 2.700
Se 0.000 0.000 0.000
Co -2.083 -0.419 -0.016
Hg -0.533 2.647 0.005
Zn -2.635 2.219 2.689
```

Computed properties:
- total moment (μB per formula unit) = 1.61
- DOS at the Fermi energy (states/eV/atom) = 0.36
- calculated volume (Å³/cell) = 124.0
- formation energy without anion corrections (eV per atom) = 0.601
- space-group type = No. 123

(5)
Here is Mn2FeRh at its PBEsol-relaxed geometry from Alexandria. Energies are from SCAN.

Structure (extended XYZ):
```
4
Lattice="-0.216 2.203 -1.214 -1.526 -1.628 -2.685 -4.526 0.730 2.129" Properties=species:S:1:pos:R:3 pbc="T T T"
Mn -3.295 0.532 1.550
Fe -3.134 0.653 -0.885
Mn -1.230 0.199 0.579
Rh -0.871 0.288 -1.949
```

Computed properties:
- relative energy among the computed polymorphs (meV/atom) = 151
- total moment (μB per formula unit) = 1.75
- DOS at the Fermi energy (states/eV/atom) = 1.12
- calculated volume (Å³/cell) = 44.6
- ΔE_f (kJ/mol of atoms) = 3.08
- space-group type = No. 47

(6)
Here is ScReH3 at its PBEsol-relaxed geometry from Alexandria. Energies are from SCAN.

Structure (extended XYZ):
```
5
Lattice="-2.393 -0.376 -2.472 0.565 -3.414 -0.027 -2.436 -0.423 2.422" Properties=species:S:1:pos:R:3 pbc="T T T"
H -1.196 -0.188 -1.236
Re -2.132 -2.106 -0.039
H -1.218 -0.211 1.211
Sc 0.000 0.000 0.000
H 0.283 -1.707 -0.014
```

Computed properties:
- total moment (μB per formula unit) = 0.00
- electronic total energy (Ry/atom) = -1.3617
- DOS at the Fermi energy (states/eV/atom) = 0.23
- calculated volume (Å³/cell) = 41.5
- space-group type = No. 221

(7)
Here is KFeSN2 at its PBEsol-relaxed geometry from Alexandria. Energies are from SCAN.

Structure (extended XYZ):
```
5
Lattice="-2.265 -0.998 -3.810 0.485 -4.432 0.873 -4.935 0.035 2.924" Properties=species:S:1:pos:R:3 pbc="T T T"
N 0.243 -2.216 0.436
N -1.132 -0.499 -1.905
Fe -3.357 -2.697 -0.006
K 0.000 0.000 0.000
S -2.468 0.018 1.462
```

Computed properties:
- relative energy among the computed polymorphs (meV/atom) = 1643
- total moment (μB per formula unit) = 9.01
- DOS at the Fermi energy (states/eV/atom) = 0.98
- calculated volume (Å³/cell) = 118.4
- formation energy without anion corrections (eV per atom) = 2.309
- space-group type = No. 123

(8)
Here is K3TiMo at its PBEsol-relaxed geometry from Alexandria. Energies are from SCAN.

Structure (extended XYZ):
```
5
Lattice="6.597 0.000 0.000 0.000 6.597 0.000 0.000 0.000 6.597" Properties=species:S:1:pos:R:3 pbc="T T T"
Mo 0.000 0.000 0.000
K 0.000 3.299 0.000
K 3.299 0.000 0.000
Ti 3.299 3.299 3.299
K 0.000 0.000 3.299
```

Computed properties:
- total moment (μB per formula unit) = 9.03
- DOS at the Fermi energy (states/eV/atom) = 0.94
- calculated volume (Å³/cell) = 287.1
- ΔE_f (kJ/mol of atoms) = 158.54
- space-group type = No. 221

(9)
Here is CoSb4Br at its PBEsol-relaxed geometry from Alexandria. Energies are from SCAN.

Structure (extended XYZ):
```
6
Lattice="6.091 0.000 0.000 3.046 5.275 0.000 3.046 1.758 4.973" Properties=species:S:1:pos:R:3 pbc="T T T"
Sb 6.091 5.223 1.884
Sb 7.569 2.664 1.884
Sb 6.091 3.517 4.296
Br 9.137 5.275 3.730
Co 0.000 0.000 0.000
Sb 4.614 2.664 1.884
```

Computed properties:
- total moment (μB per formula unit) = 1.98
- DOS at the Fermi energy (states/eV/atom) = 0.53
- calculated volume (Å³/cell) = 159.8
- formation energy without anion corrections (eV per atom) = 0.575
- space-group type = No. 216

(10)
Here is AsPtRh at its PBEsol-relaxed geometry from Alexandria. Energies are from SCAN.

Structure (extended XYZ):
```
3
Lattice="3.439 0.000 0.000 0.000 3.932 0.000 0.000 -1.966 3.406" Properties=species:S:1:pos:R:3 pbc="T T T"
Pt 2.492 0.000 2.270
As 0.092 0.000 0.000
Rh 0.854 1.966 1.135
```

Computed properties:
- total moment (μB per formula unit) = 0.00
- DOS at the Fermi energy (states/eV/atom) = 0.27
- calculated volume (Å³/cell) = 46.1
- ΔE_f (kJ/mol of atoms) = -33.94
- space-group type = No. 156

(11)
Here is ZrPtSe2Br at its PBEsol-relaxed geometry from Alexandria. Energies are from SCAN.

Structure (extended XYZ):
```
5
Lattice="5.031 0.000 0.000 0.000 5.130 0.000 0.000 0.000 5.130" Properties=species:S:1:pos:R:3 pbc="T T T"
Se 0.000 0.000 2.565
Pt 2.516 2.565 2.565
Br 2.516 0.000 0.000
Se 0.000 2.565 0.000
Zr 0.000 0.000 0.000
```

Computed properties:
- total moment (μB per formula unit) = 1.09
- DOS at the Fermi energy (states/eV/atom) = 0.86
- calculated volume (Å³/cell) = 132.4
- formation energy without anion corrections (eV per atom) = 0.131
- space-group type = No. 123

(12)
Here is SrZn2Pt at its PBEsol-relaxed geometry from Alexandria. Energies are from SCAN.

Structure (extended XYZ):
```
4
Lattice="4.008 0.000 0.000 0.000 5.019 0.000 -2.004 -2.510 3.962" Properties=species:S:1:pos:R:3 pbc="T T T"
Zn 0.000 0.000 1.641
Pt 2.004 0.000 0.000
Sr 0.000 2.510 0.000
Zn 2.004 2.510 2.322
```

Computed properties:
- total moment (μB per formula unit) = 0.00
- DOS at the Fermi energy (states/eV/atom) = 0.42
- calculated volume (Å³/cell) = 79.7
- ΔE_f (kJ/mol of atoms) = -34.83
- space-group type = No. 71